A plane-wave DFT calculation with PBE-GGA was carried out for Rb2Ba3Cu2Sb2S10 after structural relaxation.

Cell lengths 16.124, 7.412, 9.355 Å; angles 90.00, 115.60, 90.00 degrees
Space group C2/m (No. 12)
Unique sites:
Rb1 0.209 0.000 0.432
Ba1 0.000 0.500 0.500
Ba2 0.166 0.500 0.011
Cu1 0.000 0.205 0.000
Sb1 0.068 0.000 0.719
S1 0.064 0.354 0.237
S2 0.117 0.000 0.007
S3 0.170 0.246 0.721

A plane-wave DFT calculation with PBE-GGA was carried out for AcPuSi after structural relaxation.

Results
Energy relative to the lowest polymorph listed for this composition in eV/atom: 0.915
Total magnetic moment in μB per formula unit: 6.9

Cell lengths 7.251, 7.251, 7.251 Å; angles 90.00, 90.00, 90.00 degrees
Space group F-43m (No. 216)
Unique sites:
Ac1 0.000 0.000 0.000
Pu1 0.250 0.250 0.750
Si1 0.250 0.250 0.250

A plane-wave DFT calculation with PBE-GGA was carried out for SrCoCuTe after structural relaxation.

Results
Energy relative to the lowest polymorph listed for this composition in eV/atom: 0.000
Total magnetic moment in μB per formula unit: 0.5

Cell lengths 6.766, 6.766, 6.766 Å; angles 90.00, 90.00, 90.00 degrees
Space group F-43m (No. 216)
Unique sites:
Sr1 0.000 0.000 0.000
Co1 0.250 0.250 0.750
Cu1 0.250 0.250 0.250
Te1 0.000 0.000 0.500

A plane-wave DFT calculation with PBE-GGA was carried out for GdRe4Si2 after structural relaxation.

Results
Total magnetic moment in μB per formula unit: 0.0

Cell lengths 7.418, 7.418, 4.127 Å; angles 90.00, 90.00, 90.00 degrees
Space group P4_2/mnm (No. 136)
Unique sites:
Gd1 0.000 0.000 0.000
Re1 0.093 0.342 0.500
Si1 0.209 0.791 0.500

A plane-wave DFT calculation with PBE-GGA was carried out for NdScFe after structural relaxation.

Results
Energy relative to the lowest polymorph listed for this composition in eV/atom: 0.000
ΔH_f (0 K) in kJ/mol of formula units: 70
Total magnetic moment in μB per formula unit: 0.0

Cell lengths 6.498, 6.498, 6.498 Å; angles 90.00, 90.00, 90.00 degrees
Space group F-43m (No. 216)
Unique sites:
Nd1 0.000 0.000 0.000
Sc1 0.000 0.000 0.500
Fe1 0.250 0.250 0.250

A plane-wave DFT calculation with PBE-GGA was carried out for LaZnAu2O after structural relaxation.

Results
Total magnetic moment in μB per formula unit: 0.0

Cell lengths 4.140, 4.140, 11.375 Å; angles 90.00, 90.00, 90.00 degrees
Space group I-4m2 (No. 119)
Unique sites:
La1 0.000 0.000 0.000
Zn1 0.000 0.500 0.250
Au1 0.000 0.000 0.381
O1 0.000 0.500 0.750

A plane-wave DFT calculation with PBE-GGA was carried out for DyZr2P6 after structural relaxation.

Results
Total magnetic moment in μB per formula unit: 0.0

Cell lengths 5.3166, 5.3166, 22.9989 Å; angles 90.00, 90.00, 120.00 degrees
Space group R-3m (No. 166, hexagonal axes)
Unique sites:
Dy1 0.0000 0.0000 0.0000
Zr1 0.0000 0.0000 0.1946
P1 0.0184 0.5092 0.2339

A plane-wave DFT calculation with PBE-GGA was carried out for Sr2GdBrO6 after structural relaxation.

Results
Total magnetic moment in μB per formula unit: 0.0

Cell lengths 5.804, 5.804, 8.390 Å; angles 90.00, 90.00, 90.00 degrees
Space group I4/m (No. 87)
Unique sites:
Sr1 0.000 0.500 0.250
Gd1 0.000 0.000 0.000
Br1 0.000 0.000 0.500
O1 0.000 0.000 0.263
O2 0.174 0.296 0.500

Sequential DFT total energy output: -4.43; -7.42; -3.72; -9.78; -6.23; -4.04; -6.58; -5.85 eV/atom